# 1
First-principles (PBE-GGA) data for a geometry-optimized KMoRu structure, as listed in Alexandria.

Calculated values
The value obtained for the total magnetization is 0.0 μB/f.u. For the volume, the calculation gives 22.9 Å³ per atom. The calculation puts the energy above the most stable polymorph in this dataset at 0.000 eV/atom. The calculation puts the density of states at the Fermi level at 3.5 states/eV/f.u. The total energy is -6.27 eV per atom.

The structure in CIF format:
```
data_KMoRu
_symmetry_space_group_name_H-M 'P 1'
_symmetry_Int_Tables_number 1
_symmetry_space_group_name_Hall 'P 1'
_cell_length_a 7.4510
_cell_length_b 7.4510
_cell_length_c 7.4510
_cell_angle_alpha 155.94
_cell_angle_beta 155.94
_cell_angle_gamma 34.28
loop_
_atom_site_label
_atom_site_fract_x
_atom_site_fract_y
_atom_site_fract_z
K1 0.0104 0.0104 0.0000
Mo1 0.2881 0.2881 0.0000
Ru1 0.7015 0.7015 0.0000
```

=====

# 2
First-principles (PBE-GGA) data for a geometry-optimized La3Zr2PaP6 structure, as listed in Alexandria.

Calculated values
The value obtained for the total magnetization is 0.0 μB/f.u. For the volume, the calculation gives 23.1 Å³ per atom. The calculation puts the density of states at the Fermi level at 7.4 states/eV/f.u. The total energy is -7.60 eV per atom.

The structure in CIF format:
```
data_La3Zr2PaP6
_symmetry_space_group_name_H-M 'P 1'
_symmetry_Int_Tables_number 1
_symmetry_space_group_name_Hall 'P 1'
_cell_length_a 6.9205
_cell_length_b 6.9205
_cell_length_c 7.0760
_cell_angle_alpha 99.38
_cell_angle_beta 99.38
_cell_angle_gamma 120.01
loop_
_atom_site_label
_atom_site_fract_x
_atom_site_fract_y
_atom_site_fract_z
La1 0.1657 0.8343 0.5000
La2 0.8343 0.1657 0.5000
La3 0.5000 0.5000 0.5000
Zr1 0.3333 0.6667 0.0000
Zr2 0.6667 0.3333 0.0000
Pa1 0.0000 0.0000 0.0000
P1 0.9260 0.5881 0.7774
P2 0.7353 0.7353 0.2199
P3 0.0740 0.4119 0.2226
P4 0.5881 0.9260 0.7774
P5 0.2647 0.2647 0.7801
P6 0.4119 0.0740 0.2226
```

=====

# 3
First-principles (PBE-GGA) data for a geometry-optimized Na3GaI4 structure, as listed in Alexandria.

Calculated values
The value obtained for the total magnetization is 0.0 μB/f.u. For the volume, the calculation gives 35.3 Å³ per atom. As for the uncorrected formation energy: -23.69 kcal/mol of atoms. The calculation puts the energy above the most stable polymorph in this dataset at 0.000 eV/atom. The calculation puts the density of states at the Fermi level at 0.0 states/eV/f.u. The total energy is -2.68 eV per atom.

The structure in CIF format:
```
data_Na3GaI4
_symmetry_space_group_name_H-M 'P 1'
_symmetry_Int_Tables_number 1
_symmetry_space_group_name_Hall 'P 1'
_cell_length_a 6.5537
_cell_length_b 6.5537
_cell_length_c 8.0383
_cell_angle_alpha 114.07
_cell_angle_beta 114.07
_cell_angle_gamma 89.98
loop_
_atom_site_label
_atom_site_fract_x
_atom_site_fract_y
_atom_site_fract_z
I1 0.0000 0.5000 0.0000
I2 0.5000 0.0000 0.0000
I3 0.2536 0.2536 0.5071
I4 0.7464 0.7464 0.4929
Na1 0.5000 0.5000 0.0000
Na2 0.7500 0.2500 0.5000
Na3 0.2500 0.7500 0.5000
Ga1 0.0000 0.0000 0.0000
```

=====

# 4
First-principles (PBE-GGA) data for a geometry-optimized In3Si23 structure, as listed in Alexandria.

Calculated values
The value obtained for the total magnetization is 0.0 μB/f.u. For the volume, the calculation gives 20.5 Å³ per atom. As for the uncorrected formation energy: 2.17 kcal/mol of atoms. The calculation puts the density of states at the Fermi level at 6.3 states/eV/f.u. The total energy is -5.02 eV per atom.

The structure in CIF format:
```
data_In3Si23
_symmetry_space_group_name_H-M 'P 1'
_symmetry_Int_Tables_number 1
_symmetry_space_group_name_Hall 'P 1'
_cell_length_a 10.2160
_cell_length_b 10.2160
_cell_length_c 10.2160
_cell_angle_alpha 90.00
_cell_angle_beta 90.00
_cell_angle_gamma 90.00
loop_
_atom_site_label
_atom_site_fract_x
_atom_site_fract_y
_atom_site_fract_z
In1 0.2500 0.5000 0.0000
In2 0.7500 0.5000 0.0000
In3 0.5000 0.0000 0.2500
In4 0.5000 0.0000 0.7500
In5 0.0000 0.2500 0.5000
In6 0.0000 0.7500 0.5000
Si1 0.2500 0.0000 0.5000
Si2 0.7500 0.0000 0.5000
Si3 0.0000 0.5000 0.2500
Si4 0.0000 0.5000 0.7500
Si5 0.5000 0.2500 0.0000
Si6 0.5000 0.7500 0.0000
Si7 0.6842 0.6842 0.6842
Si8 0.6842 0.3158 0.3158
Si9 0.3158 0.6842 0.3158
Si10 0.3158 0.3158 0.6842
Si11 0.8158 0.8158 0.8158
Si12 0.8158 0.1842 0.1842
Si13 0.1842 0.8158 0.1842
Si14 0.1842 0.1842 0.8158
Si15 0.3158 0.3158 0.3158
Si16 0.3158 0.6842 0.6842
Si17 0.6842 0.3158 0.6842
Si18 0.6842 0.6842 0.3158
Si19 0.1842 0.1842 0.1842
Si20 0.1842 0.8158 0.8158
Si21 0.8158 0.1842 0.8158
Si22 0.8158 0.8158 0.1842
Si23 0.0000 0.6925 0.8827
Si24 0.0000 0.3075 0.1173
Si25 0.0000 0.6925 0.1173
Si26 0.0000 0.3075 0.8827
Si27 0.6925 0.8827 0.0000
Si28 0.6925 0.1173 0.0000
Si29 0.3075 0.8827 0.0000
Si30 0.3075 0.1173 0.0000
Si31 0.8827 0.0000 0.6925
Si32 0.8827 0.0000 0.3075
Si33 0.1173 0.0000 0.3075
Si34 0.1173 0.0000 0.6925
Si35 0.8075 0.5000 0.6173
Si36 0.8075 0.5000 0.3827
Si37 0.1925 0.5000 0.3827
Si38 0.1925 0.5000 0.6173
Si39 0.5000 0.6173 0.8075
Si40 0.5000 0.3827 0.1925
Si41 0.5000 0.6173 0.1925
Si42 0.5000 0.3827 0.8075
Si43 0.6173 0.8075 0.5000
Si44 0.6173 0.1925 0.5000
Si45 0.3827 0.8075 0.5000
Si46 0.3827 0.1925 0.5000
```

=====

# 5
First-principles (PBE-GGA) data for a geometry-optimized Pm7ErTl2 structure, as listed in Alexandria.

Calculated values
The value obtained for the total magnetization is 0.0 μB/f.u. For the volume, the calculation gives 40.2 Å³ per atom. The calculation puts the density of states at the Fermi level at 20.1 states/eV/f.u. The total energy is -3.91 eV per atom.

The structure in CIF format:
```
data_Pm7ErTl2
_symmetry_space_group_name_H-M 'P 1'
_symmetry_Int_Tables_number 1
_symmetry_space_group_name_Hall 'P 1'
_cell_length_a 5.3401
_cell_length_b 9.3053
_cell_length_c 9.3053
_cell_angle_alpha 119.71
_cell_angle_beta 90.00
_cell_angle_gamma 90.00
loop_
_atom_site_label
_atom_site_fract_x
_atom_site_fract_y
_atom_site_fract_z
Pm1 0.0000 0.7776 0.2224
Pm2 0.0000 0.2224 0.7776
Pm3 0.5000 0.0631 0.3003
Pm4 0.5000 0.9369 0.6997
Pm5 0.5000 0.3003 0.0631
Pm6 0.5000 0.6997 0.9369
Pm7 0.5000 0.5000 0.5000
Er1 0.0000 0.0000 0.0000
Tl1 0.5000 0.6933 0.3067
Tl2 0.5000 0.3067 0.6933
```

=====

# 6
First-principles (PBE-GGA) data for a geometry-optimized Hg2GeBr6 structure, as listed in Alexandria.

Calculated values
The value obtained for the total magnetization is 0.0 μB/f.u. For the volume, the calculation gives 33.6 Å³ per atom. As for the uncorrected formation energy: -10.39 kcal/mol of atoms. The calculation puts the energy above the most stable polymorph in this dataset at 0.008 eV/atom. The calculation puts the density of states at the Fermi level at 0.0 states/eV/f.u. The total energy is -2.15 eV per atom.

The structure in CIF format:
```
data_Hg2GeBr6
_symmetry_space_group_name_H-M 'P 1'
_symmetry_Int_Tables_number 1
_symmetry_space_group_name_Hall 'P 1'
_cell_length_a 6.8635
_cell_length_b 7.1338
_cell_length_c 7.1338
_cell_angle_alpha 120.00
_cell_angle_beta 90.00
_cell_angle_gamma 90.00
loop_
_atom_site_label
_atom_site_fract_x
_atom_site_fract_y
_atom_site_fract_z
Hg1 0.5000 0.3333 0.6667
Hg2 0.5000 0.6667 0.3333
Ge1 0.5000 0.0000 0.0000
Br1 0.2671 0.6685 0.0000
Br2 0.2671 0.3315 0.3315
Br3 0.2671 0.0000 0.6685
Br4 0.7329 0.3315 0.0000
Br5 0.7329 0.6685 0.6685
Br6 0.7329 0.0000 0.3315
```

=====

# 7
First-principles (PBE-GGA) data for a geometry-optimized Dy2Mn16Co structure, as listed in Alexandria.

Calculated values
The value obtained for the total magnetization is 11.7 μB/f.u. For the volume, the calculation gives 13.2 Å³ per atom. The calculation puts the density of states at the Fermi level at 21.7 states/eV/f.u. The total energy is -8.56 eV per atom.

The structure in CIF format:
```
data_Dy2Mn16Co
_symmetry_space_group_name_H-M 'P 1'
_symmetry_Int_Tables_number 1
_symmetry_space_group_name_Hall 'P 1'
_cell_length_a 6.3201
_cell_length_b 6.3201
_cell_length_c 6.3201
_cell_angle_alpha 86.34
_cell_angle_beta 86.34
_cell_angle_gamma 86.34
loop_
_atom_site_label
_atom_site_fract_x
_atom_site_fract_y
_atom_site_fract_z
Dy1 0.6491 0.6491 0.6491
Dy2 0.3521 0.3521 0.3521
Mn1 0.7289 0.9993 0.2719
Mn2 0.9993 0.2719 0.7289
Mn3 0.2719 0.7289 0.9993
Mn4 0.9993 0.7289 0.2719
Mn5 0.7289 0.2719 0.9993
Mn6 0.2719 0.9993 0.7289
Mn7 0.3573 0.8767 0.3573
Mn8 0.8767 0.3573 0.3573
Mn9 0.3573 0.3573 0.8767
Mn10 0.6444 0.1231 0.6444
Mn11 0.1231 0.6444 0.6444
Mn12 0.6444 0.6444 0.1231
Mn13 0.0009 0.5004 0.0009
Mn14 0.5004 0.0009 0.0009
Mn15 0.0009 0.0009 0.5004
Mn16 0.0996 0.0996 0.0996
Co1 0.8935 0.8935 0.8935
```

=====

# 8
First-principles (PBE-GGA) data for a geometry-optimized SrSn2Cl structure, as listed in Alexandria.

Calculated values
The value obtained for the total magnetization is 0.0 μB/f.u. For the volume, the calculation gives 31.2 Å³ per atom. As for the uncorrected formation energy: -19.38 kcal/mol of atoms. The calculation puts the energy above the most stable polymorph in this dataset at 0.000 eV/atom. The calculation puts the density of states at the Fermi level at 1.9 states/eV/f.u. The total energy is -3.72 eV per atom.

The structure in CIF format:
```
data_SrSn2Cl
_symmetry_space_group_name_H-M 'P 1'
_symmetry_Int_Tables_number 1
_symmetry_space_group_name_Hall 'P 1'
_cell_length_a 4.2629
_cell_length_b 4.2629
_cell_length_c 14.0763
_cell_angle_alpha 81.29
_cell_angle_beta 81.29
_cell_angle_gamma 90.00
loop_
_atom_site_label
_atom_site_fract_x
_atom_site_fract_y
_atom_site_fract_z
Sr1 0.0000 0.0000 0.0000
Sr2 0.7500 0.2500 0.5000
Sn1 0.6359 0.1250 0.2500
Sn2 0.1141 0.6250 0.2500
Sn3 0.3750 0.3641 0.7500
Sn4 0.8750 0.8859 0.7500
Cl1 0.5000 0.5000 0.0000
Cl2 0.2500 0.7500 0.5000
```

=====

# 9
First-principles (PBE-GGA) data for a geometry-optimized Ba5Al structure, as listed in Alexandria.

Calculated values
The value obtained for the total magnetization is 0.0 μB/f.u. For the volume, the calculation gives 50.7 Å³ per atom. The calculation puts the energy above the most stable polymorph in this dataset at 0.097 eV/atom. The calculation puts the density of states at the Fermi level at 9.1 states/eV/f.u. The total energy is -2.15 eV per atom.

The structure in CIF format:
```
data_Ba5Al
_symmetry_space_group_name_H-M 'P 1'
_symmetry_Int_Tables_number 1
_symmetry_space_group_name_Hall 'P 1'
_cell_length_a 9.3461
_cell_length_b 9.3461
_cell_length_c 5.9548
_cell_angle_alpha 90.00
_cell_angle_beta 90.00
_cell_angle_gamma 144.21
loop_
_atom_site_label
_atom_site_fract_x
_atom_site_fract_y
_atom_site_fract_z
Ba1 0.3451 0.6549 0.5000
Ba2 0.1446 0.8554 0.0000
Ba3 0.0000 0.0000 0.5000
Ba4 0.8554 0.1446 0.0000
Ba5 0.6549 0.3451 0.5000
Al1 0.5000 0.5000 0.0000
```

=====

# 10
First-principles (PBE-GGA) data for a geometry-optimized LiPaGa2Pt4 structure, as listed in Alexandria.

Calculated values
The value obtained for the total magnetization is 0.0 μB/f.u. For the volume, the calculation gives 16.7 Å³ per atom. The calculation puts the density of states at the Fermi level at 3.0 states/eV/f.u. The total energy is -6.04 eV per atom.

The structure in CIF format:
```
data_LiPaGa2Pt4
_symmetry_space_group_name_H-M 'P 1'
_symmetry_Int_Tables_number 1
_symmetry_space_group_name_Hall 'P 1'
_cell_length_a 4.2675
_cell_length_b 4.2675
_cell_length_c 8.8005
_cell_angle_alpha 75.97
_cell_angle_beta 75.97
_cell_angle_gamma 60.00
loop_
_atom_site_label
_atom_site_fract_x
_atom_site_fract_y
_atom_site_fract_z
Li1 0.5000 0.5000 0.5000
Pa1 0.0000 0.0000 0.0000
Ga1 0.7632 0.7632 0.7105
Ga2 0.2368 0.2368 0.2895
Pt1 0.3969 0.3969 0.8092
Pt2 0.8680 0.8680 0.3960
Pt3 0.1320 0.1320 0.6040
Pt4 0.6031 0.6031 0.1908
```

=====

Question: Which value of volume does entry 8 give?
Answer: 31.2 Å³ per atom

=====

Question: Look up the volume of the seventh one.
Answer: 13.2 Å³ per atom

=====

Question: Which value of volume does entry 5 give?
Answer: 40.2 Å³ per atom

=====

Question: Which of these has the lowest volume?
Answer: Dy2Mn16Co